VASP calculation (GGA+U) on an optimized crystal structure of Ba3Zn2NiO6.

It has space group P-3m1 (No. 164), with a = 6.0429 Å, b = 6.0429 Å, c = 6.7948 Å, α = 90.00°, β = 90.00° and γ = 120.00°. Symmetry generates all atoms from Ba at (0.0000, 0.0000, 0.0000), Ba at (0.3333, 0.6667, 0.6511), Zn at (0.3333, 0.6667, 0.2196), Ni at (0.0000, 0.0000, 0.5000) and O at (0.1620, 0.3241, 0.3057).

Its density of states at the Fermi level is 1.471 states/eV/f.u. The total energy is -5.0859 eV/atom. Its size of the total moment is 1.97 μB per cell.